Entry from the Alexandria database: an optimized crystal structure of K4MnIn3O8 (PBE with a Hubbard U).

Lattice parameters (Å, degrees): 6.6142 6.6142 7.2107 117.23 117.23 59.72
Closest atoms and distances in Å follow each position.
Fractional positions:
K: 0.0000 0.0000 0.0000  6 O 2.70-2.71
K: 0.0000 0.5000 0.0000  6 O 2.69-2.71
K: 0.5000 0.0000 0.0000  6 O 2.69-2.71
K: 0.5000 0.5000 0.0000  6 O 2.78-2.82
Mn: 0.0000 0.0000 0.5000  6 O 2.09-2.16
In: 0.0000 0.5000 0.5000  6 O 2.23-2.26
In: 0.5000 0.0000 0.5000  6 O 2.23-2.26
In: 0.5000 0.5000 0.5000  6 O 2.23-2.25
O: 0.2158 0.7471 0.6788  1 Mn 2.09, 2 In 2.25-2.26
O: 0.2214 0.2214 0.6827  1 Mn 2.16, 2 In 2.24
O: 0.2529 0.7842 0.3212  1 Mn 2.09, 2 In 2.25-2.26
O: 0.2708 0.2708 0.3118  3 In 2.23
O: 0.7292 0.7292 0.6882  3 In 2.23
O: 0.7471 0.2158 0.6788  1 Mn 2.09, 2 In 2.25-2.26
O: 0.7786 0.7786 0.3173  1 Mn 2.16, 2 In 2.24
O: 0.7842 0.2529 0.3212  1 Mn 2.09, 2 In 2.25-2.26

**V**: 14.46 Å³ per atom
**Calculated total energy**: -5.195 eV per atom